[1]
# GGA-PBE CsCeFe2I8, relaxed
data_CsCeFe2I8
_chemical_formula_sum 'Cs2 Ce2 Fe4 I16'
_space_group_name_H-M_alt 'C 1 2/m 1'
_space_group_IT_number 12
_cell_length_a 12.3879
_cell_length_b 8.5008
_cell_length_c 11.2186
_cell_angle_alpha 90.00
_cell_angle_beta 97.43
_cell_angle_gamma 90.00
loop_
_space_group_symop_operation_xyz
'x,y,z'
'-x,-y,-z'
'-x,y,-z'
'x,-y,z'
'x+1/2,y+1/2,z'
'-x+1/2,-y+1/2,-z'
'-x+1/2,y+1/2,-z'
'x+1/2,-y+1/2,z'
loop_
_atom_site_label
_atom_site_type_symbol
_atom_site_fract_x
_atom_site_fract_y
_atom_site_fract_z
_atom_site_occupancy
Cs1 Cs 0.0000 0.0000 0.0000 1
Ce1 Ce 0.0000 0.0000 0.5000 1
Fe1 Fe 0.1152 0.5000 0.2886 1
I1 I 0.0200 0.2558 0.7066 1
I2 I 0.1908 0.5000 0.0873 1
I3 I 0.2471 0.5000 0.4923 1
# Formation energy without anion corrections: -0.72 eV/atom
# Fermi-level density of states: 1.487 states/eV per atom
# Uncorrected energy: -3.734 eV per atom

***

[2]
# GGA-PBE Cs3Ce2FeS6, relaxed
data_Cs3Ce2FeS6
_chemical_formula_sum 'Cs6 Ce4 Fe2 S12'
_space_group_name_H-M_alt 'C 1 2/m 1'
_space_group_IT_number 12
_cell_length_a 6.9376
_cell_length_b 12.0161
_cell_length_c 8.3435
_cell_angle_alpha 90.00
_cell_angle_beta 106.17
_cell_angle_gamma 90.00
loop_
_space_group_symop_operation_xyz
'x,y,z'
'-x,-y,-z'
'-x,y,-z'
'x,-y,z'
'x+1/2,y+1/2,z'
'-x+1/2,-y+1/2,-z'
'-x+1/2,y+1/2,-z'
'x+1/2,-y+1/2,z'
loop_
_atom_site_label
_atom_site_type_symbol
_atom_site_fract_x
_atom_site_fract_y
_atom_site_fract_z
_atom_site_occupancy
Cs1 Cs 0.0000 0.0000 0.0000 1
Cs2 Cs 0.0000 0.3294 0.0000 1
Ce1 Ce 0.0000 0.1663 0.5000 1
Fe1 Fe 0.0000 0.5000 0.5000 1
S1 S 0.2059 0.3517 0.6722 1
S2 S 0.2387 0.5000 0.3244 1
# Formation energy without anion corrections: -1.24 eV/atom
# Fermi-level density of states: 0.578 states/eV per atom
# Uncorrected energy: -5.213 eV per atom

***

[3]
# GGA-PBE Cs2Ce2FeS6, relaxed
data_Cs2Ce2FeS6
_chemical_formula_sum 'Cs4 Ce4 Fe2 S12'
_space_group_name_H-M_alt 'C 1 2/m 1'
_space_group_IT_number 12
_cell_length_a 6.7942
_cell_length_b 11.4528
_cell_length_c 8.5771
_cell_angle_alpha 90.00
_cell_angle_beta 106.17
_cell_angle_gamma 90.00
loop_
_space_group_symop_operation_xyz
'x,y,z'
'-x,-y,-z'
'-x,y,-z'
'x,-y,z'
'x+1/2,y+1/2,z'
'-x+1/2,-y+1/2,-z'
'-x+1/2,y+1/2,-z'
'x+1/2,-y+1/2,z'
loop_
_atom_site_label
_atom_site_type_symbol
_atom_site_fract_x
_atom_site_fract_y
_atom_site_fract_z
_atom_site_occupancy
Cs1 Cs 0.0000 0.1730 0.0000 1
Ce1 Ce 0.0000 0.3317 0.5000 1
Fe1 Fe 0.0000 0.0000 0.5000 1
S1 S 0.2104 0.1464 0.6721 1
S2 S 0.2307 0.0000 0.3320 1
# Formation energy without anion corrections: -1.29 eV/atom
# Fermi-level density of states: 0.805 states/eV per atom
# Uncorrected energy: -5.545 eV per atom

***

[4]
# GGA-PBE CsCeFeS3, relaxed
data_CsCeFeS3
_chemical_formula_sum 'Cs2 Ce2 Fe2 S6'
_space_group_name_H-M_alt 'P 1 21/m 1'
_space_group_IT_number 11
_cell_length_a 9.5712
_cell_length_b 4.0442
_cell_length_c 9.7021
_cell_angle_alpha 90.00
_cell_angle_beta 110.80
_cell_angle_gamma 90.00
loop_
_space_group_symop_operation_xyz
'x,y,z'
'-x,-y,-z'
'-x,y+1/2,-z'
'x,-y+1/2,z'
loop_
_atom_site_label
_atom_site_type_symbol
_atom_site_fract_x
_atom_site_fract_y
_atom_site_fract_z
_atom_site_occupancy
Cs1 Cs 0.2064 0.2500 0.2391 1
Ce1 Ce 0.3269 0.7500 0.8396 1
Fe1 Fe 0.0685 0.2500 0.5912 1
S1 S 0.1289 0.2500 0.8438 1
S2 S 0.1813 0.7500 0.5363 1
S3 S 0.4674 0.7500 0.1480 1
# Formation energy without anion corrections: -1.32 eV/atom
# Fermi-level density of states: 0.968 states/eV per atom
# Uncorrected energy: -5.930 eV per atom

***

[5]
# GGA-PBE Cs2Ce2FeSe6, relaxed
data_Cs2Ce2FeSe6
_chemical_formula_sum 'Cs4 Ce4 Fe2 Se12'
_space_group_name_H-M_alt 'C 1 2/m 1'
_space_group_IT_number 12
_cell_length_a 7.0863
_cell_length_b 11.9540
_cell_length_c 8.9333
_cell_angle_alpha 90.00
_cell_angle_beta 106.49
_cell_angle_gamma 90.00
loop_
_space_group_symop_operation_xyz
'x,y,z'
'-x,-y,-z'
'-x,y,-z'
'x,-y,z'
'x+1/2,y+1/2,z'
'-x+1/2,-y+1/2,-z'
'-x+1/2,y+1/2,-z'
'x+1/2,-y+1/2,z'
loop_
_atom_site_label
_atom_site_type_symbol
_atom_site_fract_x
_atom_site_fract_y
_atom_site_fract_z
_atom_site_occupancy
Cs1 Cs 0.0000 0.1752 0.0000 1
Ce1 Ce 0.0000 0.3312 0.5000 1
Fe1 Fe 0.0000 0.0000 0.5000 1
Se1 Se 0.2145 0.1461 0.6769 1
Se2 Se 0.2295 0.0000 0.3278 1
# Formation energy without anion corrections: -1.18 eV/atom
# Fermi-level density of states: 1.175 states/eV per atom
# Uncorrected energy: -5.087 eV per atom

***

[6]
# GGA-PBE CsCeGaI6, relaxed
data_CsCeGaI6
_chemical_formula_sum 'Cs2 Ce2 Ga2 I12'
_space_group_name_H-M_alt 'P 42 n m'
_space_group_IT_number 102
_cell_length_a 8.1343
_cell_length_b 8.1343
_cell_length_c 14.5972
_cell_angle_alpha 90.00
_cell_angle_beta 90.00
_cell_angle_gamma 90.00
loop_
_space_group_symop_operation_xyz
'x,y,z'
'-y+1/2,x+1/2,z+1/2'
'-x,-y,z'
'y+1/2,-x+1/2,z+1/2'
'-x+1/2,y+1/2,z+1/2'
'y,x,z'
'x+1/2,-y+1/2,z+1/2'
'-y,-x,z'
loop_
_atom_site_label
_atom_site_type_symbol
_atom_site_fract_x
_atom_site_fract_y
_atom_site_fract_z
_atom_site_occupancy
Cs1 Cs 0.0000 0.0000 0.0000 1
Ce1 Ce 0.0000 0.0000 0.3388 1
Ga1 Ga 0.0000 0.0000 0.6636 1
I1 I 0.1703 0.1703 0.5020 1
I2 I 0.2071 0.2071 0.2088 1
I3 I 0.2384 0.2384 0.8198 1
# Formation energy without anion corrections: -1.05 eV/atom
# Uncorrected energy: -3.173 eV per atom

***

[7]
# GGA-PBE Cs3CeGa2I9, relaxed
data_Cs3CeGa2I9
_chemical_formula_sum 'Cs3 Ce1 Ga2 I9'
_space_group_name_H-M_alt 'P -3 m 1'
_space_group_IT_number 164
_space_group_name_Hall '-P 3 2"'
_cell_length_a 8.7833
_cell_length_b 8.7833
_cell_length_c 10.8461
_cell_angle_alpha 90.00
_cell_angle_beta 90.00
_cell_angle_gamma 120.00
loop_
_atom_site_label
_atom_site_type_symbol
_atom_site_fract_x
_atom_site_fract_y
_atom_site_fract_z
_atom_site_occupancy
Cs1 Cs 0.0000 0.0000 0.0000 1
Cs2 Cs 0.3333 0.6667 0.6818 1
Ce1 Ce 0.0000 0.0000 0.5000 1
Ga1 Ga 0.3333 0.6667 0.1398 1
I1 I 0.0000 0.5000 0.0000 1
I2 I 0.1653 0.3306 0.3365 1
# Formation energy without anion corrections: -1.12 eV/atom
# Fermi-level density of states: 0.375 states/eV per atom
# Uncorrected energy: -3.024 eV per atom

***

[8]
# GGA-PBE Cs3Ce3GaO8, relaxed
data_Cs3Ce3GaO8
_chemical_formula_sum 'Cs9 Ce9 Ga3 O24'
_space_group_name_H-M_alt 'R -3 m'
_space_group_IT_number 166
_space_group_name_Hall '-R 3 2"'
_cell_length_a 7.2868
_cell_length_b 7.2868
_cell_length_c 20.4968
_cell_angle_alpha 90.00
_cell_angle_beta 90.00
_cell_angle_gamma 120.00
loop_
_atom_site_label
_atom_site_type_symbol
_atom_site_fract_x
_atom_site_fract_y
_atom_site_fract_z
_atom_site_occupancy
Cs1 Cs 0.0000 0.5000 0.0000 1
Ce1 Ce 0.0000 0.5000 0.5000 1
Ga1 Ga 0.0000 0.0000 0.5000 1
O1 O 0.0000 0.0000 0.2240 1
O2 O 0.0362 0.5181 0.7821 1
# Formation energy without anion corrections: -2.40 eV/atom
# Fermi-level density of states: 0.036 states/eV per atom
# Uncorrected energy: -6.604 eV per atom